Here is crystalline CaTiAu2O6 at its relaxed geometry from Alexandria. Energies are from PBE.

Cell lengths 7.393, 7.067, 7.067 Å; angles 59.19, 70.26, 70.26 degrees
Atoms (fractional coordinates):
Ca  0.250  0.698  0.302
Ca  0.750  0.302  0.698
Ti  0.250  0.177  0.823
Ti  0.750  0.823  0.177
Au  0.400  0.758  0.675
Au  0.100  0.325  0.242
Au  0.600  0.242  0.325
Au  0.900  0.675  0.758
O  0.256  0.887  0.895
O  0.244  0.105  0.113
O  0.744  0.113  0.105
O  0.756  0.895  0.887
O  0.539  0.706  0.394
O  0.961  0.606  0.294
O  0.461  0.294  0.606
O  0.039  0.394  0.706
O  0.146  0.812  0.591
O  0.354  0.409  0.188
O  0.854  0.188  0.409
O  0.646  0.591  0.812

Results
Calculated volume ... 14.6 Å³/atom
Crystal system ... monoclinic
Symmetry ... No. 15
ΔE_f (raw) ... -1409 kJ/mol of formula units
Final energy ... -0.2235 hartree per atom